# Co5Te4Br2O12

A geometry-optimized Co5Te4Br2O12 structure (PBE+U, the Open Quantum Materials Database). Values from VASP.

Final energy in eV/cell: -247.77

Cell and atoms, written as Quantum ESPRESSO input:
```
&SYSTEM
  ibrav = 0, nat = 46, ntyp = 4
/
ATOMIC_SPECIES
Co 58.93 Co.upf
Te 127.60 Te.upf
O 16.00 O.upf
Br 79.90 Br.upf
CELL_PARAMETERS angstrom
-3.753 -6.956 -6.628
1.450 -7.053 -7.386
2.249 -3.039 15.815
ATOMIC_POSITIONS crystal
Co 0.212 0.772 0.382
Co 0.235 0.765 0.750
Co 0.871 0.306 0.474
Co 0.765 0.235 0.250
Co 0.772 0.212 0.882
Co 0.694 0.129 0.026
Co 0.788 0.228 0.618
Co 0.306 0.871 0.974
Co 0.129 0.694 0.526
Co 0.228 0.788 0.118
Te 0.811 0.445 0.144
Te 0.856 0.440 0.880
Te 0.440 0.856 0.380
Te 0.189 0.555 0.856
Te 0.445 0.811 0.644
Te 0.560 0.144 0.620
Te 0.555 0.189 0.356
Te 0.144 0.560 0.120
O 0.930 0.912 0.143
O 0.316 0.544 0.431
O 0.443 0.430 0.132
O 0.795 0.119 0.353
O 0.570 0.557 0.368
O 0.957 0.241 0.024
O 0.088 0.070 0.357
O 0.456 0.684 0.069
O 0.043 0.759 0.976
O 0.205 0.881 0.647
O 0.773 0.460 0.749
O 0.430 0.443 0.632
O 0.759 0.043 0.476
O 0.540 0.227 0.751
O 0.557 0.570 0.868
O 0.227 0.540 0.251
O 0.881 0.205 0.147
O 0.912 0.930 0.643
O 0.119 0.795 0.853
O 0.544 0.316 0.931
O 0.241 0.957 0.524
O 0.684 0.456 0.569
O 0.070 0.088 0.857
O 0.460 0.773 0.249
Br 0.433 0.081 0.897
Br 0.919 0.567 0.603
Br 0.567 0.919 0.103
Br 0.081 0.433 0.397
```